1.
Material: Sc12TcSn6
Method: DFT, PBE
State: relaxed

```
data_Sc12TcSn6
_symmetry_space_group_name_H-M 'P 1'
_symmetry_Int_Tables_number 1
_symmetry_space_group_name_Hall 'P 1'
_cell_length_a 8.069
_cell_length_b 8.069
_cell_length_c 8.069
_cell_angle_alpha 99.69
_cell_angle_beta 99.69
_cell_angle_gamma 99.69
loop_
_atom_site_label
_atom_site_fract_x
_atom_site_fract_y
_atom_site_fract_z
_atom_site_occupancy
Sc1 0.007 0.684 0.948 1
Sc2 0.052 0.993 0.316 1
Sc3 0.204 0.418 0.547 1
Sc4 0.316 0.052 0.993 1
Sc5 0.418 0.547 0.204 1
Sc6 0.453 0.796 0.582 1
Sc7 0.547 0.204 0.418 1
Sc8 0.582 0.453 0.796 1
Sc9 0.684 0.948 0.007 1
Sc10 0.796 0.582 0.453 1
Sc11 0.948 0.007 0.684 1
Sc12 0.993 0.316 0.052 1
Tc1 0.000 0.000 0.000 1
Sn1 0.119 0.649 0.319 1
Sn2 0.319 0.119 0.649 1
Sn3 0.351 0.681 0.881 1
Sn4 0.649 0.319 0.119 1
Sn5 0.681 0.881 0.351 1
Sn6 0.881 0.351 0.681 1
```

Values from the calculation:
Crystal system: trigonal
DFT formation energy, eV/f.u.: -5.186
Density of states at the Fermi level, states/eV/cell: 18.75
Final energy, eV per atom: -6.081
Density, g cm⁻³: 4.48

2.
Material: Sc6Tc2Sn
Method: DFT, PBE
State: relaxed

```
data_Sc6Tc2Sn
_symmetry_space_group_name_H-M 'P 1'
_symmetry_Int_Tables_number 1
_symmetry_space_group_name_Hall 'P 1'
_cell_length_a 8.005
_cell_length_b 8.005
_cell_length_c 8.005
_cell_angle_alpha 112.85
_cell_angle_beta 111.90
_cell_angle_gamma 103.81
loop_
_atom_site_label
_atom_site_fract_x
_atom_site_fract_y
_atom_site_fract_z
_atom_site_occupancy
Sc1 0.035 0.245 0.790 1
Sc2 0.187 0.283 0.470 1
Sc3 0.187 0.717 0.904 1
Sc4 0.334 0.023 0.690 1
Sc5 0.334 0.644 0.310 1
Sc6 0.455 0.245 0.210 1
Sc7 0.545 0.755 0.790 1
Sc8 0.666 0.356 0.690 1
Sc9 0.666 0.977 0.310 1
Sc10 0.813 0.283 0.096 1
Sc11 0.813 0.717 0.530 1
Sc12 0.965 0.755 0.210 1
Tc1 0.124 0.624 0.500 1
Tc2 0.329 0.000 0.329 1
Tc3 0.671 0.000 0.671 1
Tc4 0.876 0.376 0.500 1
Sn1 0.000 0.000 0.000 1
Sn2 0.500 0.500 0.000 1
```

Values from the calculation:
Crystal system: orthorhombic
DFT formation energy, eV/f.u.: -2.779
Density of states at the Fermi level, states/eV/cell: 19.94
Final energy, eV per atom: -7.278
Density, g cm⁻³: 4.95

3.
Material: ScTc2Sn
Method: DFT, PBE
State: relaxed

```
data_ScTc2Sn
_symmetry_space_group_name_H-M 'P 1'
_symmetry_Int_Tables_number 1
_symmetry_space_group_name_Hall 'P 1'
_cell_length_a 4.482
_cell_length_b 4.482
_cell_length_c 3.405
_cell_angle_alpha 90.00
_cell_angle_beta 90.00
_cell_angle_gamma 90.00
loop_
_atom_site_label
_atom_site_fract_x
_atom_site_fract_y
_atom_site_fract_z
_atom_site_occupancy
Sc1 0.000 0.000 0.000 1
Tc1 0.000 0.500 0.500 1
Tc2 0.500 0.000 0.500 1
Sn1 0.500 0.500 0.000 1
```

Values from the calculation:
Crystal system: tetragonal
DFT formation energy, eV/f.u.: -0.459
Density of states at the Fermi level, states/eV/cell: 4.73
Final energy, eV per atom: -7.881
Density, g cm⁻³: 8.73

4.
Material: ScTc2Sn2
Method: DFT, PBE
State: relaxed

```
data_ScTc2Sn2
_symmetry_space_group_name_H-M 'P 1'
_symmetry_Int_Tables_number 1
_symmetry_space_group_name_Hall 'P 1'
_cell_length_a 7.485
_cell_length_b 7.485
_cell_length_c 3.377
_cell_angle_alpha 90.00
_cell_angle_beta 90.00
_cell_angle_gamma 90.00
loop_
_atom_site_label
_atom_site_fract_x
_atom_site_fract_y
_atom_site_fract_z
_atom_site_occupancy
Sc1 0.000 0.000 0.000 1
Sc2 0.500 0.500 0.000 1
Tc1 0.138 0.362 0.000 1
Tc2 0.362 0.862 0.000 1
Tc3 0.638 0.138 0.000 1
Tc4 0.862 0.638 0.000 1
Sn1 0.159 0.659 0.500 1
Sn2 0.341 0.159 0.500 1
Sn3 0.659 0.841 0.500 1
Sn4 0.841 0.341 0.500 1
```

Values from the calculation:
Crystal system: tetragonal
DFT formation energy, eV/f.u.: -0.267
Density of states at the Fermi level, states/eV/cell: 7.23
Final energy, eV per atom: -7.067
Density, g cm⁻³: 8.40

5.
Material: ScTcSn
Method: DFT, PBE
State: relaxed

```
data_ScTcSn
_symmetry_space_group_name_H-M 'P 1'
_symmetry_Int_Tables_number 1
_symmetry_space_group_name_Hall 'P 1'
_cell_length_a 3.470
_cell_length_b 3.470
_cell_length_c 9.270
_cell_angle_alpha 90.00
_cell_angle_beta 90.00
_cell_angle_gamma 90.00
loop_
_atom_site_label
_atom_site_fract_x
_atom_site_fract_y
_atom_site_fract_z
_atom_site_occupancy
Sc1 0.000 0.000 0.000 1
Sc2 0.500 0.500 0.500 1
Tc1 0.000 0.000 0.344 1
Tc2 0.500 0.500 0.844 1
Sn1 0.000 0.000 0.687 1
Sn2 0.500 0.500 0.187 1
```

Values from the calculation:
Crystal system: tetragonal
DFT formation energy, eV/f.u.: -1.152
Final energy, eV per atom: -7.284
Density, g cm⁻³: 7.79

6.
Material: Sc2TcSn
Method: DFT, PBE
State: relaxed

```
data_Sc2TcSn
_symmetry_space_group_name_H-M 'P 1'
_symmetry_Int_Tables_number 1
_symmetry_space_group_name_Hall 'P 1'
_cell_length_a 3.465
_cell_length_b 3.465
_cell_length_c 6.498
_cell_angle_alpha 90.00
_cell_angle_beta 90.00
_cell_angle_gamma 90.00
loop_
_atom_site_label
_atom_site_fract_x
_atom_site_fract_y
_atom_site_fract_z
_atom_site_occupancy
Sc1 0.000 0.000 0.222 1
Sc2 0.000 0.000 0.778 1
Tc1 0.500 0.500 0.000 1
Sn1 0.500 0.500 0.500 1
```

Values from the calculation:
Crystal system: tetragonal
DFT formation energy, eV/f.u.: -1.889
Density of states at the Fermi level, states/eV/cell: 1.81
Final energy, eV per atom: -7.230
Density, g cm⁻³: 6.53

7.
Material: Sc2TcSn
Method: DFT, PBE
State: relaxed

```
data_Sc2TcSn
_symmetry_space_group_name_H-M 'P 1'
_symmetry_Int_Tables_number 1
_symmetry_space_group_name_Hall 'P 1'
_cell_length_a 3.259
_cell_length_b 3.259
_cell_length_c 29.658
_cell_angle_alpha 90.00
_cell_angle_beta 90.00
_cell_angle_gamma 120.00
loop_
_atom_site_label
_atom_site_fract_x
_atom_site_fract_y
_atom_site_fract_z
_atom_site_occupancy
Sc1 0.000 0.000 0.102 1
Sc2 0.000 0.000 0.898 1
Sc3 0.333 0.667 0.564 1
Sc4 0.333 0.667 0.769 1
Sc5 0.667 0.333 0.231 1
Sc6 0.667 0.333 0.436 1
Tc1 0.000 0.000 0.500 1
Tc2 0.333 0.667 0.167 1
Tc3 0.667 0.333 0.833 1
Sn1 0.000 0.000 0.000 1
Sn2 0.333 0.667 0.667 1
Sn3 0.667 0.333 0.333 1
```

Values from the calculation:
Crystal system: trigonal
DFT formation energy, eV/f.u.: 0.062
Density of states at the Fermi level, states/eV/cell: 13.97
Final energy, eV per atom: -6.743
Density, g cm⁻³: 5.60

8.
Material: Sc4TcSn
Method: DFT, PBE
State: relaxed

```
data_Sc4TcSn
_symmetry_space_group_name_H-M 'P 1'
_symmetry_Int_Tables_number 1
_symmetry_space_group_name_Hall 'P 1'
_cell_length_a 8.192
_cell_length_b 4.721
_cell_length_c 8.088
_cell_angle_alpha 90.00
_cell_angle_beta 109.69
_cell_angle_gamma 90.00
loop_
_atom_site_label
_atom_site_fract_x
_atom_site_fract_y
_atom_site_fract_z
_atom_site_occupancy
Sc1 0.112 0.000 0.334 1
Sc2 0.135 0.500 0.906 1
Sc3 0.365 0.000 0.094 1
Sc4 0.388 0.500 0.666 1
Sc5 0.612 0.500 0.334 1
Sc6 0.635 0.000 0.906 1
Sc7 0.865 0.500 0.094 1
Sc8 0.888 0.000 0.666 1
Tc1 0.000 0.000 0.000 1
Tc2 0.500 0.500 0.000 1
Sn1 0.000 0.500 0.500 1
Sn2 0.500 0.000 0.500 1
```

Values from the calculation:
Crystal system: monoclinic
DFT formation energy, eV/f.u.: -1.217
Density of states at the Fermi level, states/eV/cell: 11.62
Final energy, eV per atom: -6.819
Density, g cm⁻³: 4.47

Look up the final energy of the third one.
-7.881 eV per atom

What did the seventh record say?
Material: Sc2TcSn
Method: DFT, PBE
State: relaxed

```
data_Sc2TcSn
_symmetry_space_group_name_H-M 'P 1'
_symmetry_Int_Tables_number 1
_symmetry_space_group_name_Hall 'P 1'
_cell_length_a 3.259
_cell_length_b 3.259
_cell_length_c 29.658
_cell_angle_alpha 90.00
_cell_angle_beta 90.00
_cell_angle_gamma 120.00
loop_
_atom_site_label
_atom_site_fract_x
_atom_site_fract_y
_atom_site_fract_z
_atom_site_occupancy
Sc1 0.000 0.000 0.102 1
Sc2 0.000 0.000 0.898 1
Sc3 0.333 0.667 0.564 1
Sc4 0.333 0.667 0.769 1
Sc5 0.667 0.333 0.231 1
Sc6 0.667 0.333 0.436 1
Tc1 0.000 0.000 0.500 1
Tc2 0.333 0.667 0.167 1
Tc3 0.667 0.333 0.833 1
Sn1 0.000 0.000 0.000 1
Sn2 0.333 0.667 0.667 1
Sn3 0.667 0.333 0.333 1
```

Values from the calculation:
Crystal system: trigonal
DFT formation energy, eV/f.u.: 0.062
Density of states at the Fermi level, states/eV/cell: 13.97
Final energy, eV per atom: -6.743
Density, g cm⁻³: 5.60